Model w:
Compound: LaTmI
Source: Alexandria via LeMat-Bulk
Functional: GGA-PBE
Structure: relaxed

Total magnetization: 0.0 μB/f.u.
Space-group type: P3m1 (156)
Crystal system: trigonal

```
LaTmI
1.0
-3.030 1.392 1.909
1.665 -2.542 4.496
1.672 5.058 -1.034
I Tm La
1 1 1
Cartesian
1.079 2.796 1.182 I
-0.475 0.218 0.299 Tm
-0.297 0.893 3.890 La
```

=====

Model x:
Compound: LaTmI
Source: Alexandria via LeMat-Bulk
Functional: GGA-PBE
Structure: relaxed

Total magnetization: 0.0 μB/f.u.
Space-group type: Cmcm (63)
Crystal system: orthorhombic

```
LaTmI
1.0
-0.186 -2.947 -4.756
-1.869 -2.764 1.786
-9.343 2.830 -1.388
La Tm I
2 2 2
Cartesian
-7.195 0.994 -1.982 La
-4.203 -3.875 -2.377 La
-1.494 -1.862 -0.435 Tm
-9.904 -1.020 -3.923 Tm
-7.205 -2.372 -3.191 I
-4.194 -0.510 -1.168 I
```

=====

Verdict on stability: model w comes out at the bottom.

=====

Model w:
Compound: La2TmI
Source: Alexandria via LeMat-Bulk
Functional: GGA-PBE
Structure: relaxed

Total magnetization: 0.0 μB/f.u.
Space-group type: R-3m (166)
Crystal system: trigonal

```
La2TmI
1.0
-2.558 0.714 2.765
-3.009 -2.328 0.476
3.987 -6.661 8.067
I Tm La
1 1 2
Cartesian
0.000 0.000 0.000 I
-0.790 -4.137 5.654 Tm
-1.123 -6.271 8.554 La
-0.457 -2.004 2.753 La
```

=====

Model x:
Compound: La2TmI
Source: Alexandria via LeMat-Bulk
Functional: GGA-PBE
Structure: relaxed

Total magnetization: 0.0 μB/f.u.
Space-group type: P4/mmm (123)
Crystal system: tetragonal

```
La2TmI
1.0
3.754 0.000 0.000
0.000 3.754 0.000
0.000 0.000 9.750
I Tm La
1 1 2
Cartesian
1.877 1.877 4.875 I
1.877 1.877 0.000 Tm
0.000 0.000 7.239 La
0.000 0.000 2.511 La
```

=====

Verdict on stability: model x comes out at the bottom.

=====

Model w:
Compound: LaV2I
Source: Alexandria via LeMat-Bulk
Functional: GGA-PBE
Structure: relaxed

Total magnetization: 3.9 μB/f.u.
Space-group type: Fm-3m (225)
Crystal system: cubic

```
LaV2I
1.0
2.774 -2.665 2.997
1.072 1.666 4.456
-1.980 -2.101 3.930
I La V
1 1 2
Cartesian
0.000 0.000 0.000 I
0.933 -1.550 5.692 La
0.467 -0.775 2.846 V
1.400 -2.326 8.538 V
```

=====

Model x:
Compound: LaV2I
Source: Alexandria via LeMat-Bulk
Functional: GGA-PBE
Structure: relaxed

Total magnetization: 0.0 μB/f.u.
Space-group type: I-42d (122)
Crystal system: tetragonal

```
LaV2I
1.0
-1.345 -5.408 2.052
5.512 -0.560 2.138
0.428 -0.728 6.955
I La V
2 2 4
Cartesian
2.084 -2.984 2.095 I
4.012 -2.135 5.594 I
0.000 0.000 0.000 La
0.583 -4.559 5.551 La
-0.100 -3.856 3.374 V
3.440 -0.983 3.246 V
1.655 -2.760 6.699 V
4.196 -5.790 8.971 V
```

=====

Verdict on stability: model x comes out at the bottom.

=====

Model w:
Compound: La2VI
Source: Alexandria via LeMat-Bulk
Functional: GGA-PBE
Structure: relaxed

Total magnetization: 0.0 μB/f.u.
Space-group type: I-42d (122)
Crystal system: tetragonal

```
La2VI
1.0
-4.203 2.795 -5.431
-3.572 -6.473 -0.567
-7.007 -0.394 0.158
I La V
2 4 2
Cartesian
0.000 0.000 0.000 I
-7.549 0.281 -4.136 I
-4.368 0.535 -2.835 La
-4.967 -3.490 -1.584 La
-8.559 -2.378 -2.192 La
-11.670 -2.809 -5.067 La
-3.888 -1.839 -2.999 V
-7.233 -4.353 -1.703 V
```

=====

Model x:
Compound: La2VI
Source: Alexandria via LeMat-Bulk
Functional: GGA-PBE
Structure: relaxed

Total magnetization: 3.7 μB/f.u.
Space-group type: Fm-3m (225)
Crystal system: cubic

```
La2VI
1.0
2.822 1.757 4.419
-0.896 5.071 2.015
-2.574 0.632 4.853
I La V
1 2 1
Cartesian
-0.324 3.730 5.643 I
-0.162 1.865 2.822 La
-0.486 5.595 8.465 La
0.000 0.000 0.000 V
```

=====

Verdict on stability: model w comes out at the bottom.

=====

Model w:
Compound: LaWI2
Source: Alexandria via LeMat-Bulk
Functional: GGA-PBE
Structure: relaxed

Total magnetization: 0.0 μB/f.u.
Space-group type: I-42d (122)
Crystal system: tetragonal

```
LaWI2
1.0
5.142 0.000 0.000
0.000 5.142 0.000
2.571 2.571 9.432
I W La
4 2 2
Cartesian
4.071 1.286 2.358 I
1.071 3.857 2.358 I
3.857 3.642 7.074 I
6.428 6.643 7.074 I
0.000 0.000 0.000 W
5.142 2.571 4.716 W
2.571 2.571 0.000 La
2.571 5.142 4.716 La
```

=====

Model x:
Compound: LaWI2
Source: Alexandria via LeMat-Bulk
Functional: GGA-PBE
Structure: relaxed

Total magnetization: 0.0 μB/f.u.
Space-group type: Fm-3m (225)
Crystal system: cubic

```
LaWI2
1.0
0.000 3.730 3.730
3.730 0.000 3.730
3.730 3.730 0.000
I W La
2 1 1
Cartesian
1.865 1.865 1.865 I
5.595 5.595 5.595 I
3.730 3.730 3.730 W
0.000 0.000 0.000 La
```

=====

Verdict on stability: model x comes out at the bottom.

=====

Model w:
Compound: La2WI
Source: Alexandria via LeMat-Bulk
Functional: GGA-PBE
Structure: relaxed

Total magnetization: 0.0 μB/f.u.
Space-group type: Fm-3m (225)
Crystal system: cubic

```
La2WI
1.0
-3.890 -3.578 -1.172
-5.073 1.694 -0.836
-2.121 -0.159 -4.978
I W La
1 1 2
Cartesian
0.000 0.000 0.000 I
-5.543 -1.021 -3.493 W
-2.771 -0.511 -1.747 La
-8.314 -1.532 -5.240 La
```

=====

Model x:
Compound: La2WI
Source: Alexandria via LeMat-Bulk
Functional: GGA-PBE
Structure: relaxed

Total magnetization: 0.9 μB/f.u.
Space-group type: I-42d (122)
Crystal system: tetragonal

```
La2WI
1.0
7.871 0.000 0.000
0.000 7.871 0.000
3.935 3.935 4.643
I W La
2 2 4
Cartesian
3.935 3.935 0.000 I
3.935 7.871 2.321 I
0.000 0.000 0.000 W
7.871 3.935 2.321 W
6.463 1.968 1.161 La
1.408 5.903 1.161 La
5.903 5.344 3.482 La
9.839 10.398 3.482 La
```

=====

Verdict on stability: model x comes out at the bottom.

=====

Model w:
Compound: LaY2I
Source: Alexandria via LeMat-Bulk
Functional: GGA-PBE
Structure: relaxed

Total magnetization: 0.0 μB/f.u.
Space-group type: R-3m (166)
Crystal system: trigonal

```
LaY2I
1.0
3.627 0.000 0.000
1.814 3.141 0.000
1.814 1.047 11.842
I Y La
1 2 1
Cartesian
3.627 2.094 5.921 I
1.814 1.047 8.409 Y
5.441 3.141 3.433 Y
0.000 0.000 0.000 La
```

=====

Model x:
Compound: LaY2I
Source: Alexandria via LeMat-Bulk
Functional: GGA-PBE
Structure: relaxed

Total magnetization: 0.1 μB/f.u.
Space-group type: R3m (160)
Crystal system: trigonal

```
LaY2I
1.0
3.788 0.000 0.000
1.894 3.281 0.000
1.894 1.094 10.700
La Y I
1 2 1
Cartesian
3.788 2.187 5.356 La
1.894 1.094 8.255 Y
1.894 1.094 2.442 Y
5.683 3.281 10.698 I
```

=====

Verdict on stability: model w comes out at the bottom.

=====

Model w:
Compound: LaY2I
Source: Alexandria via LeMat-Bulk
Functional: GGA-PBE
Structure: relaxed

Total magnetization: 1.4 μB/f.u.
Space-group type: Fm-3m (225)
Crystal system: cubic

```
LaY2I
1.0
0.000 3.984 3.984
3.984 0.000 3.984
3.984 3.984 0.000
I Y La
1 2 1
Cartesian
0.000 0.000 0.000 I
1.992 1.992 1.992 Y
5.975 5.975 5.975 Y
3.984 3.984 3.984 La
```

=====

Model x:
Compound: LaY2I
Source: Alexandria via LeMat-Bulk
Functional: GGA-PBE
Structure: relaxed

Total magnetization: 0.0 μB/f.u.
Space-group type: I-42d (122)
Crystal system: tetragonal

```
LaY2I
1.0
-4.052 -4.693 -6.928
-0.013 -7.694 5.220
-4.971 -5.391 0.321
I Y La
2 4 2
Cartesian
-2.033 -6.193 -0.854 I
-3.509 -9.639 2.344 I
-3.524 -4.950 -3.164 Y
-2.011 -7.036 2.044 Y
-5.254 -9.169 -0.073 Y
-7.285 -14.401 -1.579 Y
0.000 0.000 0.000 La
-5.528 -8.139 -3.730 La
```

=====

Verdict on stability: model w comes out at the bottom.

=====

Model w:
Compound: La2YI
Source: Alexandria via LeMat-Bulk
Functional: GGA-PBE
Structure: relaxed

Total magnetization: 0.7 μB/f.u.
Space-group type: R3m (160)
Crystal system: trigonal

```
La2YI
1.0
3.872 0.000 0.000
1.936 3.353 0.000
1.936 1.118 10.959
La Y I
2 1 1
Cartesian
1.936 1.118 8.355 La
1.936 1.118 2.598 La
3.872 2.236 5.476 Y
3.872 2.236 0.009 I
```

=====

Model x:
Compound: La2YI
Source: Alexandria via LeMat-Bulk
Functional: GGA-PBE
Structure: relaxed

Total magnetization: 0.0 μB/f.u.
Space-group type: I-42d (122)
Crystal system: tetragonal

```
La2YI
1.0
9.465 0.000 0.000
0.000 9.465 0.000
4.732 4.732 3.233
I Y La
2 2 4
Cartesian
0.000 0.000 0.000 I
9.465 4.732 1.616 I
4.732 4.732 0.000 Y
4.732 9.465 1.616 Y
7.527 2.366 0.808 La
1.937 7.099 0.808 La
7.099 6.670 2.425 La
11.831 12.260 2.425 La
```

=====

Model y:
Compound: La2YI
Source: Alexandria via LeMat-Bulk
Functional: GGA-PBE
Structure: relaxed

Total magnetization: 0.0 μB/f.u.
Space-group type: R-3m (166)
Crystal system: trigonal

```
La2YI
1.0
-2.767 2.434 0.071
-2.176 0.230 2.966
5.642 9.038 5.726
I Y La
1 1 2
Cartesian
0.350 5.851 4.382 I
0.000 0.000 0.000 Y
3.591 6.745 4.400 La
-2.891 4.957 4.364 La
```

=====

Verdict on stability: model x comes out at the bottom.

=====

Model w:
Compound: LaYI4
Source: Alexandria via LeMat-Bulk
Functional: GGA-PBE
Structure: relaxed

Total magnetization: 0.0 μB/f.u.
Space-group type: Imma (74)
Crystal system: orthorhombic

```
LaYI4
1.0
-4.476 2.897 6.929
-7.249 0.318 -4.816
4.549 -7.447 0.536
La Y I
2 2 8
Cartesian
-5.863 1.607 1.056 La
-2.238 1.448 3.464 La
0.036 -2.275 3.733 Y
2.274 -3.724 0.268 Y
-6.514 -1.449 1.913 I
-1.901 -6.552 -1.507 I
-4.350 -4.967 2.284 I
-2.961 -1.605 4.274 I
-4.215 -2.628 -1.625 I
-5.275 2.318 4.156 I
-2.826 0.733 0.365 I
-0.663 -2.784 0.736 I
```

=====

Model x:
Compound: LaYI4
Source: Alexandria via LeMat-Bulk
Functional: GGA-PBE
Structure: relaxed

Total magnetization: 0.0 μB/f.u.
Space-group type: P2/m (10)
Crystal system: monoclinic

```
LaYI4
1.0
4.217 0.000 0.000
0.000 7.134 -1.959
0.000 -0.140 8.460
La Y I
1 1 4
Cartesian
0.000 3.497 3.250 La
2.108 -0.070 4.230 Y
0.000 1.561 5.825 I
0.000 5.434 0.676 I
2.108 5.343 4.873 I
2.108 1.651 1.628 I
```

=====

Verdict on stability: model w comes out at the bottom.

=====

Model w:
Compound: LaYI
Source: Alexandria via LeMat-Bulk
Functional: GGA-PBE
Structure: relaxed

Total magnetization: 0.0 μB/f.u.
Space-group type: P3m1 (156)
Crystal system: trigonal

```
LaYI
1.0
-1.817 3.419 0.327
-3.174 -1.282 -4.234
-1.546 -1.305 5.055
I Y La
1 1 1
Cartesian
-0.294 0.553 0.053 I
-2.394 -0.722 2.013 Y
-3.849 1.001 -0.919 La
```

=====

Model x:
Compound: LaYI
Source: Alexandria via LeMat-Bulk
Functional: GGA-PBE
Structure: relaxed

Total magnetization: 0.0 μB/f.u.
Space-group type: Pmma (51)
Crystal system: orthorhombic

```
LaYI
1.0
9.566 0.000 0.000
0.000 12.411 0.000
0.000 -6.206 3.833
La I Y
4 4 4
Cartesian
0.000 6.206 1.916 La
0.000 0.000 1.918 La
4.783 0.000 1.916 La
4.783 6.206 1.918 La
7.173 7.384 0.000 I
2.390 11.233 0.000 I
2.393 5.027 0.000 I
7.176 1.179 0.000 I
7.175 10.445 0.000 Y
7.174 4.239 0.000 Y
2.392 8.172 0.000 Y
2.391 1.966 0.000 Y
```

=====

Verdict on stability: model w comes out at the bottom.

=====

Model w:
Compound: LaYZr2I
Source: Alexandria via LeMat-Bulk
Functional: GGA-PBE
Structure: relaxed

Total magnetization: 0.0 μB/f.u.
Space-group type: P4/mmm (123)
Crystal system: tetragonal

```
LaYZr2I
1.0
-5.048 1.229 -0.708
0.803 -0.170 -6.023
-1.237 -5.096 -0.022
I Y Zr La
1 1 2 1
Cartesian
0.402 -0.085 -3.011 I
-2.741 -2.018 -3.376 Y
-0.619 -2.548 -0.011 Zr
-2.524 0.614 -0.354 Zr
0.000 0.000 0.000 La
```

=====

Model x:
Compound: LaYZr2I
Source: Alexandria via LeMat-Bulk
Functional: GGA-PBE
Structure: relaxed

Total magnetization: 0.0 μB/f.u.
Space-group type: P4/mmm (123)
Crystal system: tetragonal

```
LaYZr2I
1.0
5.357 0.000 0.000
0.000 5.831 0.000
0.000 0.000 5.357
I Y Zr La
1 1 2 1
Cartesian
0.000 0.000 0.000 I
2.679 2.916 2.679 Y
0.000 0.000 2.679 Zr
2.679 0.000 0.000 Zr
0.000 2.916 0.000 La
```

=====

Verdict on stability: model w comes out at the bottom.